Entry from Alexandria: FeHS2Cl at its PBEsol-relaxed geometry (SCAN).

Computed properties:
Spin magnetization, μB per cell: 5.3
DFT total energy, eV per atom: -9.22
Fermi-level density of states, states/eV per atom: 0.76

```
FeHS2Cl
1.0
4.331 0.000 0.000
0.000 4.331 0.000
0.000 0.000 4.827
H S Fe Cl
1 2 1 1
direct
0.500 0.500 0.500
0.000 0.500 0.000
0.500 0.000 0.000
0.000 0.000 0.000
0.000 0.000 0.500
```